[1]
## LaZn2Tc (meta-GGA SCAN)

Data for a PBEsol-optimized structure of LaZn2Tc.

```
4
Lattice="2.980 0.000 -0.005 0.000 4.023 0.000 -0.478 0.000 6.258" Properties=species:S:1:pos:R:3 pbc="T T T"
Tc 0.502 2.011 5.235
La 1.150 0.000 3.203
Zn 2.539 2.011 1.193
Zn 2.065 0.000 6.001
```

Computed properties:
volume: 75.01 Å³/f.u.
energy of formation from the pure elements: 108 meV per atom
total DFT energy (no corrections): -26.191 eV per atom
total magnetic moment: 0.00 μB per atom
ΔE to the lowest computed polymorph: 0.92 kcal/mol of atoms

***

[2]
## SrBeFe (meta-GGA SCAN)

Data for a PBEsol-optimized structure of SrBeFe.

```
3
Lattice="4.458 0.000 0.000 2.229 3.861 0.000 2.229 1.287 3.640" Properties=species:S:1:pos:R:3 pbc="T T T"
Sr 0.000 0.000 0.000
Fe 2.229 1.287 0.910
Be 4.458 2.574 1.820
```

Computed properties:
volume: 62.66 Å³/f.u.
energy of formation from the pure elements: 1102 meV per atom
total DFT energy (no corrections): -13.817 eV per atom
total magnetic moment: 0.77 μB per atom

***

[3]
## TlHgMoAs2 (meta-GGA SCAN)

Data for a PBEsol-optimized structure of TlHgMoAs2.

```
5
Lattice="4.800 0.000 0.000 0.000 4.800 0.000 0.000 0.000 5.428" Properties=species:S:1:pos:R:3 pbc="T T T"
Mo 0.000 0.000 0.000
As 2.400 0.000 0.000
As 0.000 2.400 0.000
Tl 2.400 2.400 2.714
Hg 0.000 0.000 2.714
```

Computed properties:
volume: 125.03 Å³/f.u.
energy of formation from the pure elements: 225 meV per atom
total DFT energy (no corrections): -42.933 eV per atom
total magnetic moment: 0.00 μB per atom

***

[4]
## Fe3H4O2F8 (meta-GGA SCAN)

Data for a PBEsol-optimized structure of Fe3H4O2F8.

```
17
Lattice="-5.019 1.480 -0.193 -1.087 -2.748 4.323 -1.236 4.684 5.460" Properties=species:S:1:pos:R:3 pbc="T T T"
F -3.728 1.690 8.375
H -1.393 -0.242 2.299
F -6.073 4.211 5.682
F -3.614 1.726 1.214
F -2.435 0.380 6.214
H -5.081 2.725 8.288
H -5.949 3.658 7.291
F -4.906 3.036 3.376
O -5.855 3.350 8.233
Fe 0.000 0.000 0.000
H -2.261 0.691 1.302
F -2.604 1.593 3.758
Fe -3.128 3.082 2.633
Fe -1.161 0.968 4.892
O -1.487 0.066 1.357
F -1.269 -0.795 3.908
F -4.738 1.823 5.832
```

Computed properties:
volume: 179.44 Å³/f.u.
total DFT energy (no corrections): -8.416 eV per atom
total magnetic moment: 0.82 μB per atom

***

[5]
## BiS2O8 (meta-GGA SCAN)

Data for a PBEsol-optimized structure of BiS2O8.

```
88
Lattice="-9.176 -1.789 2.695 1.932 -9.763 0.097 3.769 0.879 13.414" Properties=species:S:1:pos:R:3 pbc="T T T"
O 1.074 -8.086 6.344
O 0.106 -6.948 14.825
O -3.722 -0.958 3.213
O -2.507 -10.551 8.458
O -0.470 -7.718 11.759
O -4.593 -5.884 9.144
O -5.682 -10.943 7.474
O -5.046 -8.201 3.334
Bi -0.179 -1.489 2.020
O -1.627 -0.322 0.682
Bi -5.175 -4.515 10.887
O 1.777 -4.588 14.128
O 1.571 -2.471 12.872
O -0.112 -2.871 6.106
S -4.166 -2.265 8.437
O -2.295 -7.167 14.495
S -0.035 -8.621 0.722
O -6.460 -8.958 6.258
O -1.552 -2.864 11.298
O -5.574 -8.128 9.233
S -3.440 -2.051 15.485
O -2.677 -2.490 8.312
O 3.966 -4.426 11.601
O -1.180 -3.505 1.711
O 4.067 -6.568 10.409
O -1.923 -7.808 4.908
O -3.005 -2.954 4.447
Bi -0.992 -1.576 9.519
S 3.356 -5.243 10.596
O -0.968 -0.121 7.748
Bi 1.700 -6.157 5.319
Bi -2.483 -9.097 6.687
S 2.236 -0.398 9.998
O -2.628 -5.859 3.708
O -8.356 -3.670 2.719
O -4.549 -2.587 9.863
O -6.366 -11.052 5.098
S -0.624 -9.211 11.974
O -0.316 -8.025 1.993
S -5.009 -7.568 2.050
O 0.326 -3.139 8.529
O 1.908 -5.570 10.865
O -3.051 -0.851 5.593
O -6.788 -6.044 6.983
O -3.580 -3.724 1.381
O 2.099 -2.545 6.973
O 1.367 -7.625 8.759
O 4.881 -7.003 13.487
O -5.252 -6.085 2.078
O -5.383 -5.102 5.341
O -0.798 -8.182 7.894
O 2.579 -7.720 13.162
O 0.247 -9.714 12.993
O -4.346 -9.967 5.645
O -1.387 -1.218 3.964
S 0.691 -8.407 7.769
S -4.282 -7.354 9.097
S -1.731 -6.307 4.830
O 1.118 -4.788 7.062
O 2.207 0.270 8.732
O -1.964 -5.654 6.083
Bi -4.362 -4.429 3.388
O -7.441 -6.246 4.605
O 2.985 -1.714 9.948
O -0.350 -6.082 4.268
O -3.159 -2.647 14.213
O -1.848 -10.351 15.524
S 1.534 -3.104 14.156
S 0.807 -3.318 7.109
O -3.363 -7.801 10.100
Bi 0.887 -6.244 12.818
O -1.511 -5.018 10.123
O -4.842 -3.047 7.447
Bi -3.296 -9.183 14.186
O -2.088 -9.455 12.242
O -6.054 -2.952 3.044
O 3.313 -4.628 9.223
O -3.125 -4.590 11.938
S -1.744 -4.366 11.376
O -0.424 -9.822 10.613
O -0.847 -4.814 12.498
O 0.871 -0.705 10.561
O -3.801 -7.533 7.677
S -6.831 -5.430 5.610
O -7.542 -4.104 5.797
S -2.851 -1.461 4.232
O 2.891 0.380 11.108
S -5.711 -10.275 6.208
```

Computed properties:
volume: 168.98 Å³/f.u.
E_form (uncorrected): -1283 meV/atom
total DFT energy (no corrections): -14.709 eV per atom
total magnetic moment: 0.00 μB per atom

***

[6]
## BaPdC3 (meta-GGA SCAN)

Data for a PBEsol-optimized structure of BaPdC3.

```
5
Lattice="4.190 0.000 0.000 0.000 4.190 0.000 0.000 0.000 4.190" Properties=species:S:1:pos:R:3 pbc="T T T"
Pd 0.000 0.000 0.000
C 0.000 0.000 2.095
Ba 2.095 2.095 2.095
C 2.095 0.000 0.000
C 0.000 2.095 0.000
```

Computed properties:
volume: 73.56 Å³/f.u.
energy of formation from the pure elements: 1814 meV per atom
total DFT energy (no corrections): -18.711 eV per atom
total magnetic moment: 1.12 μB per atom

***

[7]
## ZrTa2Cl (meta-GGA SCAN)

Data for a PBEsol-optimized structure of ZrTa2Cl.

```
4
Lattice="4.692 0.000 0.000 2.346 4.063 0.000 2.346 1.354 3.831" Properties=species:S:1:pos:R:3 pbc="T T T"
Ta 0.000 0.000 0.000
Cl 4.692 2.709 1.915
Zr 2.346 1.354 0.958
Ta 7.038 4.063 2.873
```

Computed properties:
volume: 73.02 Å³/f.u.
E_form (uncorrected): 598 meV/atom
total DFT energy (no corrections): -42.362 eV per atom
total magnetic moment: 0.00 μB per atom
ΔE to the lowest computed polymorph: 17.15 kcal/mol of atoms

***

[8]
## RbFe2CuO (meta-GGA SCAN)

Data for a PBEsol-optimized structure of RbFe2CuO.

```
5
Lattice="-2.873 1.462 -2.683 -3.430 -2.253 2.446 -0.589 3.870 2.739" Properties=species:S:1:pos:R:3 pbc="T T T"
Cu -3.446 1.539 1.251
Fe -1.715 -1.127 1.223
Rb 0.000 0.000 0.000
Fe -0.294 1.935 1.370
O -1.437 0.731 -1.342
```

Computed properties:
volume: 95.73 Å³/f.u.
E_form (uncorrected): 2146 meV/atom
total DFT energy (no corrections): -13.540 eV per atom
total magnetic moment: 1.20 μB per atom

***

[9]
## SiP2Se (meta-GGA SCAN)

Data for a PBEsol-optimized structure of SiP2Se.

```
4
Lattice="-2.676 2.371 0.321 -0.506 -0.090 -3.554 -1.721 -4.955 2.194" Properties=species:S:1:pos:R:3 pbc="T T T"
Si -1.615 -1.860 0.279
P -4.880 -2.648 -1.043
P -3.341 -0.876 -1.309
Se -3.279 -3.777 0.571
```

Computed properties:
volume: 65.53 Å³/f.u.
E_form (uncorrected): 246 meV/atom
total DFT energy (no corrections): -12.477 eV per atom
total magnetic moment: 0.00 μB per atom
ΔE to the lowest computed polymorph: 1.81 kcal/mol of atoms

***

[10]
## Ba3La2Ti2Nb2O15 (meta-GGA SCAN)

Data for a PBEsol-optimized structure of Ba3La2Ti2Nb2O15.

```
24
Lattice="5.657 0.000 0.000 -2.828 4.899 0.000 0.000 0.000 11.539" Properties=species:S:1:pos:R:3 pbc="T T T"
Ba 0.000 0.000 0.000
Ba 0.000 3.266 4.868
O 2.828 3.202 4.402
Ba 2.828 1.633 6.670
Nb 0.000 0.000 7.985
O 1.359 4.051 7.137
O -1.414 2.450 0.000
O 1.470 0.848 4.402
O 1.414 2.450 0.000
La 2.828 1.633 2.481
Ti 0.000 3.266 1.117
O 0.000 1.657 2.226
O 4.222 0.829 9.312
O -1.359 4.051 7.137
Nb 0.000 0.000 3.553
O 1.393 4.070 2.226
O -1.393 4.070 2.226
Ti 2.828 1.633 10.421
O 2.828 3.242 9.312
O 2.828 0.000 0.000
O 0.000 1.697 7.137
La 0.000 3.266 9.057
O 4.187 0.848 4.402
O 1.435 0.829 9.312
```

Computed properties:
volume: 319.77 Å³/f.u.
E_form (uncorrected): -3332 meV/atom
total DFT energy (no corrections): -19.859 eV per atom
total magnetic moment: 0.00 μB per atom

***

[11]
## BaTlMo3 (meta-GGA SCAN)

Data for a PBEsol-optimized structure of BaTlMo3.

```
5
Lattice="-2.137 -2.153 4.102 -3.486 -2.227 -2.986 3.051 -4.053 -0.538" Properties=species:S:1:pos:R:3 pbc="T T T"
Tl 0.000 0.000 0.000
Mo -1.069 -1.077 2.051
Ba -1.286 -4.217 0.289
Mo 1.525 -2.027 -0.269
Mo -1.743 -1.114 -1.493
```

Computed properties:
volume: 132.79 Å³/f.u.
energy of formation from the pure elements: 2393 meV per atom
total DFT energy (no corrections): -40.920 eV per atom
total magnetic moment: 0.00 μB per atom
ΔE to the lowest computed polymorph: 0.00 kcal/mol of atoms

***

[12]
## MnSb2PI (meta-GGA SCAN)

Data for a PBEsol-optimized structure of MnSb2PI.

```
5
Lattice="-2.892 3.206 2.549 -1.619 -3.672 2.782 3.645 0.782 3.153" Properties=species:S:1:pos:R:3 pbc="T T T"
Sb -0.810 -1.836 1.391
Mn 0.000 0.000 0.000
I -1.446 1.603 1.275
P -0.433 0.158 4.242
Sb 1.823 0.391 1.577
```

Computed properties:
volume: 119.55 Å³/f.u.
E_form (uncorrected): 831 meV/atom
total DFT energy (no corrections): -27.152 eV per atom
total magnetic moment: 0.37 μB per atom
ΔE to the lowest computed polymorph: 1.95 kcal/mol of atoms

***

[13]
## LaSc2Ir (meta-GGA SCAN)

Data for a PBEsol-optimized structure of LaSc2Ir.

```
4
Lattice="4.321 0.000 0.000 2.160 3.742 0.000 2.160 1.247 6.073" Properties=species:S:1:pos:R:3 pbc="T T T"
La 4.321 2.495 3.036
Ir 0.000 0.000 0.000
Sc 2.160 1.247 0.844
Sc 6.481 3.742 5.228
```

Computed properties:
volume: 98.18 Å³/f.u.
energy of formation from the pure elements: -475 meV per atom
total DFT energy (no corrections): -36.145 eV per atom
total magnetic moment: 0.00 μB per atom
ΔE to the lowest computed polymorph: 0.82 kcal/mol of atoms

***

[14]
## ZrAl2Pt (meta-GGA SCAN)

Data for a PBEsol-optimized structure of ZrAl2Pt.

```
4
Lattice="-2.114 1.872 0.318 -3.142 -3.133 -2.442 1.445 -1.410 5.201" Properties=species:S:1:pos:R:3 pbc="T T T"
Al -0.533 -0.919 1.864
Zr -1.571 -1.566 -1.221
Al -3.278 -1.752 1.213
Pt -1.057 0.936 0.159
```

Computed properties:
volume: 68.55 Å³/f.u.
energy of formation from the pure elements: -768 meV per atom
total DFT energy (no corrections): -29.867 eV per atom
total magnetic moment: 0.00 μB per atom

***

[15]
## ZrMo2C (meta-GGA SCAN)

Data for a PBEsol-optimized structure of ZrMo2C.

```
4
Lattice="-2.241 0.294 2.106 1.313 -2.595 1.760 2.411 4.738 1.905" Properties=species:S:1:pos:R:3 pbc="T T T"
Zr 0.783 -1.156 0.994
Mo 2.573 0.852 2.619
C 2.470 2.141 4.596
Mo 0.038 1.446 2.104
```

Computed properties:
volume: 56.54 Å³/f.u.
energy of formation from the pure elements: -40 meV per atom
total DFT energy (no corrections): -27.682 eV per atom
total magnetic moment: 0.00 μB per atom

***

[16]
## YAs2Se (meta-GGA SCAN)

Data for a PBEsol-optimized structure of YAs2Se.

```
4
Lattice="3.828 0.000 0.000 0.000 4.053 -0.006 0.000 -1.457 5.600" Properties=species:S:1:pos:R:3 pbc="T T T"
As 0.000 2.630 4.353
Y 1.914 2.027 -0.003
Se 1.914 1.298 2.797
As 0.000 -0.034 1.240
```

Computed properties:
volume: 86.85 Å³/f.u.
E_form (uncorrected): -721 meV/atom
total DFT energy (no corrections): -22.797 eV per atom
total magnetic moment: 0.00 μB per atom

***

[17]
## CaMg30ZnO32 (meta-GGA SCAN)

Data for a PBEsol-optimized structure of CaMg30ZnO32.

```
64
Lattice="-7.569 -2.676 2.705 2.860 -7.994 0.097 2.522 1.000 8.046" Properties=species:S:1:pos:R:3 pbc="T T T"
Mg 0.219 -6.647 0.757
O -3.052 -3.385 1.377
Mg -1.009 -7.083 3.437
Mg -2.439 -3.086 3.389
O -1.909 -0.594 7.338
O -1.979 -0.699 0.707
Mg 1.361 -1.768 2.059
Mg -0.033 0.069 6.693
Mg -2.268 -7.499 6.123
Mg -2.354 -5.335 1.401
Mg -5.014 -1.745 4.058
Ca 0.000 0.000 0.000
Mg -3.697 -3.506 6.075
Mg 1.425 -3.917 6.758
Mg -1.278 -0.424 2.723
O -1.806 -2.843 5.400
O -5.591 -1.976 1.998
Mg 4.021 -5.225 6.084
Mg -4.928 -4.023 2.045
O -0.465 -4.586 7.429
O -3.070 -3.252 8.090
O -3.139 -1.082 3.413
O 1.861 0.738 5.939
Mg 1.430 -3.997 0.049
Mg 0.166 -4.417 2.740
O 1.982 -1.515 4.047
O -0.549 -2.415 2.709
O 0.714 -1.914 6.738
O -4.405 -1.503 6.048
O 0.660 0.262 2.107
O -2.983 -5.503 6.099
Mg 2.691 -3.497 4.071
Mg -1.178 -2.586 7.411
Mg 0.081 -2.171 4.725
O -4.235 -6.000 2.073
Mg -1.192 -2.702 0.710
O 2.146 -5.917 6.786
Mg 1.510 -6.163 4.773
Mg -3.612 -5.752 4.090
O -0.474 -4.670 0.729
Zn -3.785 -1.338 1.353
O -4.333 -3.753 4.062
O 3.317 -3.249 6.066
Mg -1.093 -4.835 5.424
O 0.749 -2.094 0.025
O -0.643 -0.173 4.703
O 2.111 -5.900 0.072
Mg 2.775 -5.720 2.107
O -2.901 -7.755 4.110
O -1.657 -7.285 1.425
O 0.796 -4.167 4.749
Mg -3.517 -7.967 2.093
Mg 1.261 0.500 4.023
O 2.066 -3.745 2.076
Mg 0.252 -6.583 7.460
O -0.381 -6.826 5.448
Mg 2.608 -1.274 6.036
Mg -3.770 -1.251 8.028
Mg -2.524 -0.838 5.376
O 0.883 -6.418 2.758
O -1.638 -7.255 8.139
O -1.722 -5.084 3.420
Mg -2.353 -5.253 8.108
O 3.400 -5.479 4.096
```

Computed properties:
volume: 610.78 Å³/f.u.
E_form (uncorrected): -2958 meV/atom
total DFT energy (no corrections): -8.767 eV per atom
total magnetic moment: 0.00 μB per atom

***

[18]
## LiLa3Co (meta-GGA SCAN)

Data for a PBEsol-optimized structure of LiLa3Co.

```
5
Lattice="-4.840 1.329 1.094 -1.713 -4.041 -2.669 0.170 -2.880 4.250" Properties=species:S:1:pos:R:3 pbc="T T T"
La 0.085 -1.440 2.125
La -0.856 -2.020 -1.335
Li 0.000 0.000 0.000
La -2.420 0.664 0.547
Co -3.191 -2.796 1.338
```

Computed properties:
volume: 135.55 Å³/f.u.
energy of formation from the pure elements: 777 meV per atom
total DFT energy (no corrections): -29.025 eV per atom
total magnetic moment: 0.22 μB per atom
ΔE to the lowest computed polymorph: 17.36 kcal/mol of atoms

***

[19]
## LiCu2Ni (meta-GGA SCAN)

Data for a PBEsol-optimized structure of LiCu2Ni.

```
4
Lattice="3.532 0.000 0.000 0.000 3.532 0.000 -1.766 -1.766 3.516" Properties=species:S:1:pos:R:3 pbc="T T T"
Cu 1.766 0.000 1.758
Ni 0.000 1.766 1.758
Li 1.766 1.766 0.000
Cu 0.000 0.000 0.000
```

Computed properties:
volume: 43.87 Å³/f.u.
energy of formation from the pure elements: 36 meV per atom
total DFT energy (no corrections): -12.204 eV per atom
total magnetic moment: 0.00 μB per atom
ΔE to the lowest computed polymorph: 0.91 kcal/mol of atoms